Entry 1:
A relaxed Tl2HgPd crystal, computed with PBE.

Calculated volume in Å³/atom: 26.916
DFT total energy in hartree per atom: -0.094
Formation enthalpy at 0 K in eV per atom: 0.003
Offset from the most stable computed form in meV per atom: 65
SG: No. 160

Structure (POSCAR):
```
Tl2HgPd
1.0
2.256 1.303 6.106
-2.256 1.303 6.106
0.000 -2.605 6.106
Tl Hg Pd
2 1 1
Cartesian
0.000 0.000 0.000
0.000 0.000 3.736
0.000 0.000 7.938
0.000 0.000 10.957
```

=====

Entry 2:
A relaxed V12CoGe7 crystal, computed with PBE.

Calculated volume in Å³/atom: 14.851
DFT total energy in hartree per atom: -0.271
Formation enthalpy at 0 K in eV per atom: 0.067
SG: No. 148

Structure (POSCAR):
```
V12CoGe7
1.0
4.818 2.782 3.693
-4.818 2.782 3.693
0.000 -5.564 3.693
V Co Ge
12 1 7
Cartesian
-4.195 0.596 4.655
-2.614 -3.335 6.425
-2.460 -0.782 5.936
-0.553 -2.521 5.144
1.581 -3.931 4.655
-1.907 1.740 5.144
1.907 -1.740 5.936
-1.581 3.931 6.425
0.553 2.521 5.936
2.460 0.782 5.144
2.614 3.335 4.655
4.195 -0.596 6.425
0.000 0.000 5.540
0.000 0.000 0.000
-1.858 -0.187 3.447
1.091 -1.516 3.447
0.767 1.702 3.447
-0.767 -1.702 7.633
-1.091 1.516 7.633
1.858 0.187 7.633
```

=====

Entry 3:
A relaxed KBaN2 crystal, computed with PBE.

Calculated volume in Å³/atom: 29.959
DFT total energy in hartree per atom: -0.150
Formation energy from raw total energies in eV/atom: 0.847
Offset from the most stable computed form in meV per atom: 133
SG: No. 166

Structure (POSCAR):
```
KBaN2
1.0
2.115 1.221 7.731
-2.115 1.221 7.731
0.000 -2.443 7.731
K Ba N
1 1 2
Cartesian
0.000 0.000 0.000
0.000 0.000 11.597
0.000 0.000 2.568
0.000 0.000 20.626
```

=====

Entry 4:
A relaxed Pm2SiNi4P3 crystal, computed with PBE.

Calculated volume in Å³/atom: 14.926
DFT total energy in hartree per atom: -0.235
Formation energy from raw total energies in eV/atom: -0.967
SG: No. 115

Structure (POSCAR):
```
Pm2SiNi4P3
1.0
3.981 0.000 0.000
0.000 3.981 0.000
0.000 0.000 9.418
Pm Si Ni P
2 1 4 3
Cartesian
0.000 1.990 2.339
1.990 0.000 7.079
0.000 0.000 4.709
0.000 0.000 0.000
0.000 1.990 5.860
1.990 0.000 3.558
1.990 1.990 0.000
0.000 1.990 8.192
1.990 0.000 1.226
1.990 1.990 4.709
```

=====

Entry 5:
A relaxed NbGaTe2W crystal, computed with PBE.

Calculated volume in Å³/atom: 29.002
DFT total energy in hartree per atom: -0.189
Formation energy from raw total energies in eV/atom: 1.313
SG: No. 123

Structure (POSCAR):
```
NbGaTe2W
1.0
5.372 0.000 0.000
0.000 5.372 0.000
0.000 0.000 5.025
Nb Ga Te W
1 1 2 1
Cartesian
0.000 0.000 0.000
0.000 0.000 2.512
0.000 2.686 0.000
2.686 0.000 0.000
2.686 2.686 2.512
```

=====

Entry 6:
A relaxed PuMnP2 crystal, computed with PBE.

Calculated volume in Å³/atom: 17.964
DFT total energy in hartree per atom: -0.337
Formation enthalpy at 0 K in eV per atom: -0.599
SG: No. 44

Structure (POSCAR):
```
PuMnP2
1.0
-1.886 1.890 5.038
1.886 -1.890 5.038
1.886 1.890 -5.038
Pu Mn P
1 1 2
Cartesian
0.000 0.000 0.000
0.000 1.890 2.519
0.000 0.000 3.813
0.000 0.000 6.254
```

=====

Entry 7:
A relaxed CaReSb2 crystal, computed with PBE.

Calculated volume in Å³/atom: 22.361
DFT total energy in hartree per atom: -0.194
Formation energy from raw total energies in eV/atom: 0.388
Offset from the most stable computed form in meV per atom: 415
SG: No. 119

Structure (POSCAR):
```
CaReSb2
1.0
-2.131 2.131 4.925
2.131 -2.131 4.925
2.131 2.131 -4.925
Ca Re Sb
1 1 2
Cartesian
0.000 0.000 0.000
2.131 0.000 2.463
0.000 0.000 4.925
0.000 2.131 2.463
```

=====

Entry 8:
A relaxed DyLu2Au crystal, computed with PBE.

Calculated volume in Å³/atom: 28.069
DFT total energy in hartree per atom: -0.166
Formation enthalpy at 0 K in eV per atom: -0.295
Offset from the most stable computed form in meV per atom: 123
SG: No. 166

Structure (POSCAR):
```
DyLu2Au
1.0
1.822 1.052 9.759
-1.822 1.052 9.759
0.000 -2.104 9.759
Dy Lu Au
1 2 1
Cartesian
0.000 0.000 0.000
0.000 0.000 6.903
0.000 0.000 22.372
0.000 0.000 14.638
```

=====

Entry 9:
A relaxed LaY4Te5 crystal, computed with PBE.

Calculated volume in Å³/atom: 30.338
DFT total energy in hartree per atom: -0.221
Formation energy from raw total energies in eV/atom: -1.360
SG: No. 71

Structure (POSCAR):
```
LaY4Te5
1.0
-2.195 3.119 11.080
2.195 -3.119 11.080
2.195 3.119 -11.080
La Y Te
1 4 5
Cartesian
0.000 0.000 0.000
0.000 0.000 4.513
0.000 0.000 8.905
0.000 0.000 13.254
0.000 0.000 17.646
2.195 0.000 2.362
2.195 0.000 6.698
0.000 3.119 0.000
0.000 3.119 4.381
0.000 3.119 8.717
```

=====

Entry 10:
A relaxed Cr2Fe2Tc crystal, computed with PBE.

Calculated volume in Å³/atom: 11.816
DFT total energy in hartree per atom: -0.335
Formation enthalpy at 0 K in eV per atom: 0.200
Offset from the most stable computed form in meV per atom: 31
SG: No. 127

Structure (POSCAR):
```
Cr2Fe2Tc
1.0
6.804 0.000 0.000
0.000 6.804 0.000
0.000 0.000 2.552
Cr Fe Tc
4 4 2
Cartesian
0.843 2.559 0.000
2.559 5.961 0.000
4.245 0.843 0.000
5.961 4.245 0.000
1.187 4.589 1.276
2.216 1.187 1.276
4.589 5.618 1.276
5.618 2.216 1.276
0.000 0.000 0.000
3.402 3.402 0.000
```

=====

no.,total moment (μB/f.u.)
1,0.0
2,1.7
3,3.0
4,0.0
5,4.9
6,7.8
7,1.6
8,0.0
9,0.0
10,0.0